(1)
Below is a relaxed structure of Ca2LaCu, with properties calculated at the PBE-GGA level.

As for the energy above the most stable polymorph in this dataset: 38 meV/atom. The value obtained for the calculated volume is 137.6 Å³ per cell. The calculation puts the total magnetization at 0.0 μB/f.u. The formation energy from the elements comes out at 0.0068 eV per atom. As for the space group: Pm.

```
Ca2LaCu
1.0
3.967 0.000 0.000
0.000 4.158 0.000
0.000 2.090 8.342
Ca Cu La
2 1 1
Direct
0.000 0.076 0.971
0.500 0.417 0.290
0.000 0.279 0.569
0.500 0.728 0.670
```

***

(2)
Below is a relaxed structure of CaLa2Cu9, with properties calculated at the PBE-GGA level.

The value obtained for the calculated volume is 203.3 Å³ per cell. The calculation puts the total magnetization at 0.0 μB/f.u. The formation energy from the elements comes out at -0.1195 eV per atom. As for the space group: R-3m.

```
CaLa2Cu9
1.0
-0.532 5.060 1.308
-4.786 2.026 0.769
-1.331 0.280 8.927
Ca La Cu
1 2 9
Direct
0.000 0.000 0.000
0.858 0.858 0.425
0.142 0.142 0.575
0.668 0.668 0.995
0.332 0.332 0.005
0.500 0.500 0.500
0.423 0.423 0.237
0.916 0.423 0.237
0.423 0.916 0.237
0.577 0.577 0.763
0.577 0.084 0.763
0.084 0.577 0.763
```

***

(3)
Below is a relaxed structure of Ca2LaCu, with properties calculated at the PBE-GGA level.

As for the energy above the most stable polymorph in this dataset: 114 meV/atom. The value obtained for the calculated volume is 132.8 Å³ per cell. The calculation puts the total magnetization at 0.0 μB/f.u. The formation energy from the elements comes out at 0.0820 eV per atom. As for the space group: R-3m.

```
Ca2LaCu
1.0
-0.307 5.907 -8.781
-0.224 2.377 -10.314
-3.570 3.901 -9.172
Ca Cu La
2 1 1
Direct
0.023 0.023 0.023
0.477 0.477 0.477
0.750 0.750 0.750
0.250 0.250 0.250
```

***

(4)
Below is a relaxed structure of Ca2LaCu, with properties calculated at the PBE-GGA level.

As for the energy above the most stable polymorph in this dataset: 68 meV/atom. The value obtained for the calculated volume is 127.2 Å³ per cell. The calculation puts the total magnetization at 0.0 μB/f.u. The formation energy from the elements comes out at 0.0364 eV per atom. As for the space group: Imm2.

```
Ca2LaCu
1.0
6.806 0.005 -0.003
5.771 3.608 -0.003
2.458 0.706 5.183
Ca Cu La
2 1 1
Direct
0.000 0.000 0.000
0.805 0.805 0.695
0.502 0.502 0.498
0.192 0.192 0.308
```